[1]
Entry from Alexandria via LeMat-Bulk: Sm3Co3B8 after structural relaxation (PBE).

Cell and atoms, written as POSCAR:
```
Sm3Co3B8
1.0
-1.5962 4.1493 6.3774
1.5962 -4.1493 6.3774
1.5962 4.1493 -6.3774
Sm Co B
3 3 8
direct
0.0000 0.0000 0.0000
0.2739 0.2739 0.0000
0.7261 0.7261 0.0000
0.3021 0.5000 0.8021
0.5000 0.0000 0.5000
0.6979 0.5000 0.1979
0.0611 0.3656 0.6955
0.1563 0.8856 0.2707
0.3298 0.6344 0.6955
0.3851 0.1144 0.2707
0.6149 0.8856 0.7293
0.6702 0.3656 0.3045
0.8437 0.1144 0.7293
0.9389 0.6344 0.3045
```

Computed properties:
Density of states at the Fermi level, states/eV/atom: 0.48
Magnetic moment, Bohr magnetons per cell: 0.00
Formation enthalpy at 0 K, meV/atom: -170
SG: Immm, No. 71
E_tot, eV/atom: -6.52

[2]
Entry from Alexandria via LeMat-Bulk: Ac4Tl3Te8 after structural relaxation (PBE).

Cell and atoms, written as POSCAR:
```
Ac4Tl3Te8
1.0
6.7612 -6.7136 0.0000
6.7612 6.7136 0.0000
-6.7538 0.0000 6.8003
Ac Tl Te
4 3 8
direct
0.0000 0.0000 0.0000
0.0000 0.0000 0.5000
0.0000 0.5000 0.0000
0.5000 0.0000 0.0000
0.0000 0.5000 0.5000
0.5000 0.0000 0.5000
0.5000 0.5000 0.5000
0.2395 0.2395 0.4901
0.2449 0.2449 0.9919
0.2462 0.7538 0.5000
0.2486 0.7514 0.0000
0.7514 0.2486 0.0000
0.7538 0.2462 0.5000
0.7551 0.7551 0.0081
0.7605 0.7605 0.5099
```

Computed properties:
Density of states at the Fermi level, states/eV/atom: 0.44
Magnetic moment, Bohr magnetons per cell: 0.00
Formation energy from raw total energies, meV/atom: -1099
SG: C2/m, No. 12
E_tot, eV/atom: -4.34

[3]
Entry from Alexandria via LeMat-Bulk: TaNi2Mo after structural relaxation (PBE).

Cell and atoms, written as POSCAR:
```
TaNi2Mo
1.0
1.3625 0.7866 8.8200
-1.3625 0.7866 8.8200
0.0000 -1.5733 8.8200
Ta Ni Mo
1 2 1
direct
0.0000 0.0000 0.0000
0.2489 0.2489 0.2489
0.7511 0.7511 0.7511
0.5000 0.5000 0.5000
```

Computed properties:
Density of states at the Fermi level, states/eV/atom: 1.00
Magnetic moment, Bohr magnetons per cell: 0.00
Formation enthalpy at 0 K, meV/atom: 166
SG: R-3m, No. 166
E_tot, eV/atom: -8.40

[4]
Entry from Alexandria via LeMat-Bulk: Tm14ThSc after structural relaxation (PBE).

Cell and atoms, written as POSCAR:
```
Tm14ThSc
1.0
6.9623 0.0000 0.0000
0.0000 6.9623 0.0000
0.0000 0.0000 9.8171
Tm Th Sc
14 1 1
direct
0.0000 0.0000 0.0000
0.0000 0.5000 0.0000
0.0000 0.5000 0.5000
0.2500 0.2500 0.2525
0.2500 0.2500 0.7475
0.2500 0.7500 0.2525
0.2500 0.7500 0.7475
0.5000 0.0000 0.0000
0.5000 0.0000 0.5000
0.5000 0.5000 0.0000
0.7500 0.2500 0.2525
0.7500 0.2500 0.7475
0.7500 0.7500 0.2525
0.7500 0.7500 0.7475
0.0000 0.0000 0.5000
0.5000 0.5000 0.5000
```

Computed properties:
Density of states at the Fermi level, states/eV/atom: 1.30
Magnetic moment, Bohr magnetons per cell: 0.00
Formation enthalpy at 0 K, meV/atom: 27
SG: P4/mmm, No. 123
E_tot, eV/atom: -4.74

[5]
Entry from Alexandria via LeMat-Bulk: Na2ZrHg after structural relaxation (PBE).

Cell and atoms, written as POSCAR:
```
Na2ZrHg
1.0
-4.3123 4.3123 2.9258
4.3123 -4.3123 2.9258
4.3123 4.3123 -2.9258
Na Zr Hg
4 2 2
direct
0.0900 0.6250 0.9650
0.3750 0.3399 0.4650
0.6600 0.1250 0.0350
0.8750 0.9100 0.5350
0.2500 0.7500 0.5000
0.5000 0.5000 0.0000
0.0000 0.0000 0.0000
0.7500 0.2500 0.5000
```

Computed properties:
Density of states at the Fermi level, states/eV/atom: 1.05
Magnetic moment, Bohr magnetons per cell: 2.39
Formation enthalpy at 0 K, meV/atom: 542
SG: I-42d, No. 122
E_tot, eV/atom: -2.33

[6]
Entry from Alexandria via LeMat-Bulk: ErPaN after structural relaxation (PBE).

Cell and atoms, written as POSCAR:
```
ErPaN
1.0
0.0000 3.0169 3.0169
3.0169 0.0000 3.0169
3.0169 3.0169 0.0000
Er Pa N
1 1 1
direct
0.0000 0.0000 0.0000
0.5000 0.5000 0.5000
0.2500 0.2500 0.2500
```

Computed properties:
Density of states at the Fermi level, states/eV/atom: 1.87
Magnetic moment, Bohr magnetons per cell: 1.52
Formation energy from raw total energies, meV/atom: 49
SG: F-43m, No. 216
E_tot, eV/atom: -7.41

[7]
Entry from Alexandria via LeMat-Bulk: CuGe2Se3 after structural relaxation (PBE).

Cell and atoms, written as POSCAR:
```
CuGe2Se3
1.0
-2.5817 5.8625 2.2453
2.5817 -5.8625 2.2453
2.5817 5.8625 -2.2453
Cu Ge Se
1 2 3
direct
0.0000 0.0000 0.0000
0.3932 0.0585 0.3347
0.7238 0.0585 0.6653
0.1867 0.6867 0.5000
0.5217 0.6899 0.8317
0.8582 0.6899 0.1683
```

Computed properties:
Density of states at the Fermi level, states/eV/atom: 0.33
Magnetic moment, Bohr magnetons per cell: 0.00
Formation energy from raw total energies, meV/atom: -158
SG: Imm2, No. 44
E_tot, eV/atom: -4.12

[8]
Entry from Alexandria via LeMat-Bulk: Ca2TcRh after structural relaxation (PBE).

Cell and atoms, written as POSCAR:
```
Ca2TcRh
1.0
-1.9481 2.3675 4.4860
1.9481 -2.3675 4.4860
1.9481 2.3675 -4.4860
Ca Tc Rh
2 1 1
direct
0.2317 0.2317 0.0000
0.7683 0.7683 0.0000
0.5000 0.0000 0.5000
0.0000 0.5000 0.5000
```

Computed properties:
Density of states at the Fermi level, states/eV/atom: 0.71
Magnetic moment, Bohr magnetons per cell: 2.18
Formation enthalpy at 0 K, meV/atom: 424
SG: Immm, No. 71
E_tot, eV/atom: -5.01

[9]
Entry from Alexandria via LeMat-Bulk: TbYMgCd after structural relaxation (PBE).

Cell and atoms, written as POSCAR:
```
TbYMgCd
1.0
3.8409 0.0000 0.0000
0.0000 5.2794 0.0000
0.0000 0.0000 5.2929
Tb Y Mg Cd
1 1 1 1
direct
0.0000 0.0000 0.0000
0.0000 0.5000 0.5000
0.5000 0.5000 0.0000
0.5000 0.0000 0.5000
```

Computed properties:
Density of states at the Fermi level, states/eV/atom: 1.15
Magnetic moment, Bohr magnetons per cell: 0.00
Formation enthalpy at 0 K, meV/atom: -219
SG: Pmmm, No. 47
E_tot, eV/atom: -3.62

[10]
Entry from Alexandria via LeMat-Bulk: CuGeNF2 after structural relaxation (PBE).

Cell and atoms, written as POSCAR:
```
CuGeNF2
1.0
4.0804 0.0000 0.0000
0.0000 4.0804 0.0000
0.0000 0.0000 3.5263
Cu Ge N F
1 1 1 2
direct
0.0000 0.0000 0.0000
0.5000 0.5000 0.5000
0.5000 0.5000 0.0000
0.0000 0.5000 0.5000
0.5000 0.0000 0.5000
```

Computed properties:
Density of states at the Fermi level, states/eV/atom: 0.33
Magnetic moment, Bohr magnetons per cell: 0.00
Formation energy from raw total energies, meV/atom: -432
SG: P4/mmm, No. 123
E_tot, eV/atom: -4.59

[11]
Entry from Alexandria via LeMat-Bulk: ZnCdBr2 after structural relaxation (PBE).

Cell and atoms, written as POSCAR:
```
ZnCdBr2
1.0
4.0413 0.0000 0.0000
0.0000 4.1139 0.0000
0.0000 0.0000 7.1894
Zn Cd Br
1 1 2
direct
0.0000 0.0000 0.0000
0.0000 0.5000 0.5000
0.5000 0.0000 0.5000
0.5000 0.5000 0.0000
```

Computed properties:
Density of states at the Fermi level, states/eV/atom: 0.55
Magnetic moment, Bohr magnetons per cell: 0.00
Formation energy from raw total energies, meV/atom: -177
SG: Pmmm, No. 47
E_tot, eV/atom: -1.56

[12]
Entry from Alexandria via LeMat-Bulk: Y2Tm3Mg2 after structural relaxation (PBE).

Cell and atoms, written as POSCAR:
```
Y2Tm3Mg2
1.0
1.7994 -16.1455 0.0000
1.7994 16.1455 0.0000
0.0000 0.0000 3.5313
Y Tm Mg
2 3 2
direct
0.2036 0.7964 0.0000
0.7964 0.2036 0.0000
0.0732 0.9268 0.0000
0.5000 0.5000 0.5000
0.9268 0.0732 0.0000
0.3623 0.6377 0.5000
0.6377 0.3623 0.5000
```

Computed properties:
Density of states at the Fermi level, states/eV/atom: 1.33
Magnetic moment, Bohr magnetons per cell: 0.97
Formation enthalpy at 0 K, meV/atom: 46
SG: Cmmm, No. 65
E_tot, eV/atom: -4.17